Entry 1:
DFT (PBE) results for an optimized crystal structure of AcLa2Nd2Sm2.

Formation energy from the elements: 19 kJ/mol of formula units
Electronic total energy: -32.7 eV/cell
Space group: No. 12

Cell and atoms, written as POSCAR:
```
AcLa2Nd2Sm2
1.0
5.917 -2.644 0.000
5.917 2.644 0.000
-1.162 0.000 8.228
Ac La Nd Sm
1 2 2 2
Cartesian
0.000 0.000 0.000
2.390 0.000 7.002
8.283 0.000 1.225
4.698 0.000 2.412
5.975 0.000 5.815
1.181 0.000 3.551
9.492 0.000 4.676
```

---

Entry 2:
DFT (PBE) results for an optimized crystal structure of BaSrLiSi.

Energy above the lowest structure with this stoichiometry: 8.57 kJ/mol of atoms
Electronic total energy: -11.6 eV/cell
Space group: No. 216
ΔE_f (raw): -157.1 meV/atom

Cell and atoms, written as POSCAR:
```
BaSrLiSi
1.0
0.000 3.988 3.988
3.988 0.000 3.988
3.988 3.988 0.000
Ba Sr Li Si
1 1 1 1
Cartesian
0.000 0.000 0.000
3.988 3.988 3.988
5.981 5.981 5.981
1.994 1.994 1.994
```

---

Entry 3:
DFT (PBE) results for an optimized crystal structure of MgSc2Tc.

Formation energy from the elements: 22 kJ/mol of formula units
Electronic total energy: -24.4 eV/cell
Space group: No. 99

Cell and atoms, written as POSCAR:
```
MgSc2Tc
1.0
3.539 0.000 0.000
0.000 3.539 0.000
0.000 0.000 6.432
Mg Sc Tc
1 2 1
Cartesian
0.000 0.000 0.000
0.000 0.000 3.664
1.770 1.770 1.872
1.770 1.770 4.755
```

---

Which formula does entry 2 have? BaSrLiSi

---

What is the electronic total energy in the first record? -32.7 eV/cell

---

What is the electronic total energy in the third record? -24.4 eV/cell

---

What is the electronic total energy in the second record? -11.6 eV/cell